Computed, not measured: crystalline LiSb2PbI at its relaxed geometry at the GGA-PBEsol level of DFT.

- formation energy (no corrections) (kJ/mol of formula units) = 217
- energy (eV/atom) = -2.920

abc: 5.745 5.745 6.314
angles: 90.00 90.00 90.00
Fractional coordinates of all 5 atoms:
Pb  0.000  0.000  0.000
Sb  0.000  0.500  0.000
Sb  0.500  0.000  0.000
Li  0.500  0.500  0.500
I  0.000  0.000  0.500